Model a:
# Li2Mn3CrO8 | Alexandria | GGA+U | relaxed
data_Li2Mn3CrO8
_symmetry_space_group_name_H-M 'P 1'
_symmetry_Int_Tables_number 1
_cell_length_a 8.315
_cell_length_b 8.315
_cell_length_c 8.525
_cell_angle_alpha 90.00
_cell_angle_beta 90.00
_cell_angle_gamma 90.00
loop_
_symmetry_equiv_pos_as_xyz
'x,y,z'
loop_
_atom_site_label
_atom_site_fract_x
_atom_site_fract_y
_atom_site_fract_z
Li1 0.254 0.499 0.628
Li2 0.501 0.746 0.872
Li3 0.999 0.246 0.878
Li4 0.246 0.999 0.122
Li5 0.746 0.501 0.128
Li6 0.499 0.254 0.372
Li7 0.001 0.754 0.378
Li8 0.754 0.001 0.622
Mn1 0.377 0.122 0.754
Mn2 0.629 0.371 0.750
Mn3 0.878 0.623 0.746
Mn4 0.622 0.123 0.004
Mn5 0.871 0.871 0.000
Mn6 0.123 0.622 0.996
Mn7 0.623 0.878 0.254
Mn8 0.371 0.629 0.250
Mn9 0.122 0.377 0.246
Mn10 0.378 0.877 0.504
Mn11 0.129 0.129 0.500
Mn12 0.877 0.378 0.496
Cr1 0.126 0.874 0.750
Cr2 0.374 0.374 0.000
Cr3 0.874 0.126 0.250
Cr4 0.626 0.626 0.500
O1 0.371 0.890 0.733
O2 0.149 0.112 0.755
O3 0.868 0.385 0.727
O4 0.392 0.355 0.764
O5 0.645 0.608 0.736
O6 0.615 0.132 0.773
O7 0.888 0.851 0.745
O8 0.110 0.629 0.767
O9 0.390 0.129 0.983
O10 0.612 0.351 0.005
O11 0.885 0.632 0.977
O12 0.855 0.108 0.014
O13 0.108 0.855 0.986
O14 0.632 0.885 0.023
O15 0.351 0.612 0.995
O16 0.129 0.390 0.017
O17 0.629 0.110 0.233
O18 0.851 0.888 0.255
O19 0.132 0.615 0.227
O20 0.608 0.645 0.264
O21 0.355 0.392 0.236
O22 0.385 0.868 0.273
O23 0.112 0.149 0.245
O24 0.890 0.371 0.267
O25 0.610 0.871 0.483
O26 0.388 0.649 0.505
O27 0.115 0.368 0.477
O28 0.145 0.892 0.514
O29 0.892 0.145 0.486
O30 0.368 0.115 0.523
O31 0.649 0.388 0.495
O32 0.871 0.610 0.517
# - space-group type = P4_32_12, No. 96

---

Model b:
# Li2Mn3CrO8 | Alexandria | GGA+U | relaxed
data_Li2Mn3CrO8
_symmetry_space_group_name_H-M 'P 1'
_symmetry_Int_Tables_number 1
_cell_length_a 5.957
_cell_length_b 5.814
_cell_length_c 6.065
_cell_angle_alpha 118.87
_cell_angle_beta 92.45
_cell_angle_gamma 118.92
loop_
_symmetry_equiv_pos_as_xyz
'x,y,z'
loop_
_atom_site_label
_atom_site_fract_x
_atom_site_fract_y
_atom_site_fract_z
Li1 0.000 0.000 0.500
Li2 0.500 0.500 0.500
Mn1 0.500 0.000 0.000
Mn2 0.500 0.500 0.000
Mn3 0.000 0.500 0.000
Cr1 0.000 0.000 0.000
O1 0.710 0.472 0.226
O2 0.249 0.477 0.194
O3 0.263 0.033 0.797
O4 0.751 0.026 0.798
O5 0.249 0.974 0.202
O6 0.737 0.967 0.203
O7 0.751 0.523 0.806
O8 0.290 0.528 0.774
# - space-group type = P-1, No. 2

---

Structures ranked by computed energy, the most stable listed first: model a, model b.

---

Model a:
# Li2Mn3CrO8 | Alexandria | GGA+U | relaxed
data_Li2Mn3CrO8
_symmetry_space_group_name_H-M 'P 1'
_symmetry_Int_Tables_number 1
_cell_length_a 5.923
_cell_length_b 5.923
_cell_length_c 5.923
_cell_angle_alpha 60.18
_cell_angle_beta 60.18
_cell_angle_gamma 60.18
loop_
_symmetry_equiv_pos_as_xyz
'x,y,z'
loop_
_atom_site_label
_atom_site_fract_x
_atom_site_fract_y
_atom_site_fract_z
Li1 0.121 0.121 0.121
Li2 0.879 0.879 0.879
Mn1 0.000 0.500 0.500
Mn2 0.500 0.500 0.000
Mn3 0.500 0.000 0.500
Cr1 0.500 0.500 0.500
O1 0.260 0.260 0.260
O2 0.707 0.260 0.260
O3 0.260 0.260 0.707
O4 0.260 0.707 0.260
O5 0.740 0.293 0.740
O6 0.740 0.740 0.293
O7 0.740 0.740 0.740
O8 0.293 0.740 0.740
# - space-group type = R-3m, No. 166

---

Model b:
# Li2Mn3CrO8 | Alexandria | GGA+U | relaxed
data_Li2Mn3CrO8
_symmetry_space_group_name_H-M 'P 1'
_symmetry_Int_Tables_number 1
_cell_length_a 5.896
_cell_length_b 5.896
_cell_length_c 9.439
_cell_angle_alpha 90.00
_cell_angle_beta 90.00
_cell_angle_gamma 120.00
loop_
_symmetry_equiv_pos_as_xyz
'x,y,z'
loop_
_atom_site_label
_atom_site_fract_x
_atom_site_fract_y
_atom_site_fract_z
Li1 0.333 0.667 0.890
Li2 0.000 0.000 0.998
Li3 0.000 0.000 0.498
Li4 0.667 0.333 0.390
Mn1 0.171 0.829 0.215
Mn2 0.171 0.341 0.215
Mn3 0.659 0.829 0.215
Mn4 0.341 0.171 0.715
Mn5 0.829 0.659 0.715
Mn6 0.829 0.171 0.715
Cr1 0.333 0.667 0.489
Cr2 0.667 0.333 0.989
O1 0.162 0.838 0.603
O2 0.040 0.520 0.338
O3 0.333 0.667 0.100
O4 0.000 0.000 0.309
O5 0.000 0.000 0.809
O6 0.162 0.324 0.603
O7 0.480 0.960 0.338
O8 0.480 0.520 0.338
O9 0.324 0.162 0.103
O10 0.676 0.838 0.603
O11 0.520 0.480 0.838
O12 0.520 0.040 0.838
O13 0.667 0.333 0.600
O14 0.838 0.676 0.103
O15 0.960 0.480 0.838
O16 0.838 0.162 0.103
# - space-group type = P6_3mc, No. 186

---

Structures ranked by computed energy, the most stable listed first: model a, model b.

---

Model a:
# Li4Mn3Cr2O10 | Alexandria | GGA+U | relaxed
data_Li4Mn3Cr2O10
_symmetry_space_group_name_H-M 'P 1'
_symmetry_Int_Tables_number 1
_cell_length_a 5.423
_cell_length_b 5.265
_cell_length_c 6.932
_cell_angle_alpha 104.12
_cell_angle_beta 87.09
_cell_angle_gamma 99.42
loop_
_symmetry_equiv_pos_as_xyz
'x,y,z'
loop_
_atom_site_label
_atom_site_fract_x
_atom_site_fract_y
_atom_site_fract_z
Li1 0.165 0.979 0.404
Li2 0.777 0.155 0.280
Li3 0.271 0.412 0.217
Li4 0.630 0.668 0.474
Mn1 0.099 0.520 0.616
Mn2 0.538 0.218 0.703
Mn3 0.840 0.613 0.112
Cr1 0.393 0.840 0.998
Cr2 0.986 0.089 0.862
O1 0.899 0.171 0.597
O2 0.376 0.358 0.493
O3 0.096 0.010 0.114
O4 0.652 0.615 0.869
O5 0.138 0.481 0.949
O6 0.543 0.776 0.238
O7 0.963 0.571 0.349
O8 0.656 0.170 0.999
O9 0.811 0.729 0.727
O10 0.280 0.892 0.727
# - space-group type = P1, No. 1

---

Model b:
# Li4Mn3Cr2O10 | Alexandria | GGA+U | relaxed
data_Li4Mn3Cr2O10
_symmetry_space_group_name_H-M 'P 1'
_symmetry_Int_Tables_number 1
_cell_length_a 5.128
_cell_length_b 5.246
_cell_length_c 7.796
_cell_angle_alpha 108.46
_cell_angle_beta 101.33
_cell_angle_gamma 101.31
loop_
_symmetry_equiv_pos_as_xyz
'x,y,z'
loop_
_atom_site_label
_atom_site_fract_x
_atom_site_fract_y
_atom_site_fract_z
Li1 0.233 0.969 0.455
Li2 0.504 0.488 0.511
Li3 0.610 0.729 0.234
Li4 0.801 0.073 0.591
Mn1 0.999 0.500 0.996
Mn2 0.693 0.887 0.893
Mn3 0.302 0.109 0.100
Cr1 0.105 0.695 0.689
Cr2 0.896 0.303 0.304
O1 0.033 0.067 0.854
O2 0.340 0.739 0.953
O3 0.117 0.318 0.541
O4 0.231 0.465 0.218
O5 0.470 0.869 0.663
O6 0.534 0.116 0.331
O7 0.776 0.538 0.773
O8 0.876 0.685 0.449
O9 0.677 0.271 0.042
O10 0.917 0.906 0.136
# - space-group type = P1, No. 1

---

Structures ranked by computed energy, the most stable listed first: model b, model a.

---

Model a:
# Li5MnCr3O8 | Alexandria | GGA+U | relaxed
data_Li5MnCr3O8
_symmetry_space_group_name_H-M 'P 1'
_symmetry_Int_Tables_number 1
_cell_length_a 5.989
_cell_length_b 5.989
_cell_length_c 6.038
_cell_angle_alpha 60.27
_cell_angle_beta 60.27
_cell_angle_gamma 60.00
loop_
_symmetry_equiv_pos_as_xyz
'x,y,z'
loop_
_atom_site_label
_atom_site_fract_x
_atom_site_fract_y
_atom_site_fract_z
Li1 0.067 0.067 0.798
Li2 0.933 0.933 0.202
Li3 0.000 0.500 0.500
Li4 0.000 0.000 0.500
Li5 0.500 0.000 0.500
Mn1 0.500 0.500 0.500
Cr1 0.000 0.500 0.000
Cr2 0.500 0.500 0.000
Cr3 0.500 0.000 0.000
O1 0.257 0.257 0.228
O2 0.743 0.743 0.772
O3 0.254 0.254 0.765
O4 0.727 0.254 0.765
O5 0.254 0.727 0.765
O6 0.746 0.273 0.235
O7 0.273 0.746 0.235
O8 0.746 0.746 0.235
# - space-group type = R-3m, No. 166

---

Model b:
# Li5MnCr3O8 | Alexandria | GGA+U | relaxed
data_Li5MnCr3O8
_symmetry_space_group_name_H-M 'P 1'
_symmetry_Int_Tables_number 1
_cell_length_a 8.140
_cell_length_b 8.827
_cell_length_c 8.827
_cell_angle_alpha 90.00
_cell_angle_beta 90.00
_cell_angle_gamma 90.00
loop_
_symmetry_equiv_pos_as_xyz
'x,y,z'
loop_
_atom_site_label
_atom_site_fract_x
_atom_site_fract_y
_atom_site_fract_z
Li1 0.031 0.201 0.043
Li2 0.250 0.152 0.848
Li3 0.492 0.144 0.604
Li4 0.742 0.104 0.356
Li5 0.469 0.957 0.799
Li6 0.969 0.043 0.201
Li7 0.242 0.896 0.644
Li8 0.992 0.856 0.396
Li9 0.750 0.848 0.152
Li10 0.531 0.799 0.957
Li11 0.219 0.701 0.457
Li12 0.508 0.604 0.144
Li13 0.758 0.644 0.896
Li14 0.000 0.652 0.652
Li15 0.781 0.457 0.701
Li16 0.281 0.543 0.299
Li17 0.500 0.348 0.348
Li18 0.258 0.356 0.104
Li19 0.008 0.396 0.856
Li20 0.719 0.299 0.543
Mn1 0.500 0.119 0.119
Mn2 0.000 0.881 0.881
Mn3 0.750 0.619 0.381
Mn4 0.250 0.381 0.619
Cr1 0.750 0.129 0.871
Cr2 0.245 0.120 0.374
Cr3 0.745 0.880 0.626
Cr4 0.250 0.871 0.129
Cr5 0.005 0.620 0.126
Cr6 0.500 0.629 0.629
Cr7 0.000 0.371 0.371
Cr8 0.505 0.380 0.874
Cr9 0.995 0.126 0.620
Cr10 0.495 0.874 0.380
Cr11 0.255 0.626 0.880
Cr12 0.755 0.374 0.120
O1 0.244 0.128 0.610
O2 0.776 0.140 0.104
O3 0.996 0.136 0.390
O4 0.502 0.152 0.872
O5 0.746 0.110 0.636
O6 0.224 0.104 0.140
O7 0.494 0.110 0.372
O8 0.998 0.128 0.848
O9 0.498 0.872 0.152
O10 0.994 0.890 0.628
O11 0.724 0.896 0.860
O12 0.246 0.890 0.364
O13 0.002 0.848 0.128
O14 0.496 0.864 0.610
O15 0.276 0.860 0.896
O16 0.744 0.872 0.390
O17 0.006 0.628 0.890
O18 0.474 0.640 0.396
O19 0.748 0.652 0.628
O20 0.254 0.636 0.110
O21 0.026 0.604 0.360
O22 0.504 0.610 0.864
O23 0.756 0.610 0.128
O24 0.252 0.628 0.652
O25 0.752 0.372 0.348
O26 0.256 0.390 0.872
O27 0.004 0.390 0.136
O28 0.526 0.396 0.640
O29 0.754 0.364 0.890
O30 0.248 0.348 0.372
O31 0.974 0.360 0.604
O32 0.506 0.372 0.110
# - space-group type = P4_32_12, No. 96

---

Structures ranked by computed energy, the most stable listed first: model b, model a.